## LaDy2AlAu4 (PBE)

Data for a relaxed structure of LaDy2AlAu4.

Output
Total magnetic moment in μB per formula unit: 0.0
ΔE_f in eV/atom: -0.741
Calculated volume in Å³/atom: 23.213
Density of states at the Fermi level in states/eV/cell: 3.878

Lattice parameters (Å, degrees): 4.978 4.978 9.117 74.16 74.16 60.00
Element x y z (fractional)
Au1 0.879 0.879 0.363
Dy1 0.236 0.236 0.292
Au2 0.121 0.121 0.637
Au3 0.396 0.396 0.812
La1 0.000 0.000 0.000
Al1 0.500 0.500 0.500
Dy2 0.764 0.764 0.708
Au4 0.604 0.604 0.188